Entry 1:
VASP calculation (PBE) on crystalline Rb2CdAgI5 at its relaxed geometry.

The size of the total moment comes out at 0.0 μB/f.u. As for the electronic total energy: -2.41 eV/atom. The value obtained for the formation energy (no corrections) is -912 meV/atom. As for the volume: 1647 Å³ per cell.

The space group is Cmc2_1 (No. 36) and the conventional cell measures 4.7486, 22.2646 and 15.5759 Å, with angles of 90.00, 90.00 and 90.00 degrees. Symmetry generates all atoms from Rb at (0.0000, 0.0980, 0.0000), Rb at (0.0000, 0.1489, 0.6511), Cd at (0.0000, 0.4347, 0.7375), Ag at (0.0000, 0.2543, 0.4270), I at (0.0000, 0.0476, 0.3406), I at (0.0000, 0.3036, 0.9733), I at (0.0000, 0.3239, 0.6516), I at (0.0000, 0.3590, 0.3319) and I at (0.0000, 0.4819, 0.0993).

***

Entry 2:
VASP calculation (PBE) on crystalline Ba6SeS3Br2 at its relaxed geometry.

The size of the total moment comes out at 0.0 μB/f.u. As for the electronic total energy: -4.51 eV/atom. The value obtained for the formation energy (no corrections) is -1944 meV/atom. As for the volume: 842 Å³ per cell.

The space group is C2/m (No. 12) and the conventional cell measures 7.9829, 13.7996 and 8.0882 Å, with angles of 90.00, 109.16 and 90.00 degrees. Symmetry generates all atoms from Ba at (0.2324, 0.0000, 0.2290), Ba at (0.2476, 0.3384, 0.2278), Se at (0.0000, 0.0000, 0.5000), S at (0.0000, 0.1685, 0.0000), S at (0.0000, 0.5000, 0.0000) and Br at (0.0000, 0.3335, 0.5000).

***

Entry 3:
VASP calculation (PBE) on crystalline TbTmCdPb at its relaxed geometry.

The size of the total moment comes out at 0.1 μB/f.u. As for the electronic total energy: -3.79 eV/atom. As for the volume: 213 Å³ per cell. As for the formation enthalpy at 0 K: -362 meV/atom. The relative energy among the computed polymorphs comes out at 0 meV per atom.

The space group is I-4m2 (No. 119) and the conventional cell measures 4.9358, 4.9358 and 8.7244 Å, with angles of 90.00, 90.00 and 90.00 degrees. Symmetry generates all atoms from Tb at (0.0000, 0.0000, 0.0000), Tm at (0.0000, 0.0000, 0.5000), Cd at (0.0000, 0.5000, 0.7500) and Pb at (0.0000, 0.5000, 0.2500).

***

Entry 4:
VASP calculation (PBE) on crystalline BaZn11Pd at its relaxed geometry.

The size of the total moment comes out at 0.0 μB/f.u. As for the electronic total energy: -1.80 eV/atom. As for the volume: 452 Å³ per cell. As for the formation enthalpy at 0 K: -173 meV/atom.

The space group is C2/m (No. 12) and the conventional cell measures 5.0759, 13.2926 and 7.1533 Å, with angles of 90.00, 110.47 and 90.00 degrees. Symmetry generates all atoms from Ba at (0.0000, 0.0000, 0.0000), Zn at (0.0000, 0.0000, 0.5000), Zn at (0.1190, 0.3803, 0.2403), Zn at (0.1864, 0.1768, 0.3608), Zn at (0.2500, 0.2500, 0.0000) and Pd at (0.0000, 0.5000, 0.5000).